Below is Ta2NiB3 after structural relaxation, with properties calculated at the PBE-GGA level. Values from VASP.

Computed properties:
space-group type = Fmmm, No. 69
DFT formation energy = -0.62 eV per atom
E = -8.874 eV/atom

The structure in Quantum ESPRESSO input format:
```
&SYSTEM
  ibrav = 0, nat = 12, ntyp = 3
/
ATOMIC_SPECIES
Ta 180.95 Ta.upf
Ni 58.69 Ni.upf
B 10.81 B.upf
ATOMIC_POSITIONS crystal
Ta 0.250 0.750 0.500
Ta 0.758 0.758 0.000
Ta 0.750 0.250 0.500
Ta 0.242 0.242 0.000
Ni 0.667 0.667 0.335
Ni 0.333 0.333 0.665
B 0.315 0.843 0.159
B 0.157 0.685 0.841
B 0.685 0.157 0.841
B 0.843 0.315 0.159
B 0.157 0.157 0.315
B 0.843 0.843 0.685
CELL_PARAMETERS angstrom
4.689 0.137 0.000
-0.045 4.691 0.000
-2.322 -2.414 5.668
```

---

Below is Ta2NiB2 after structural relaxation, with properties calculated at the PBE-GGA level. Values from VASP.

Computed properties:
space-group type = Immm, No. 71
DFT formation energy = -0.67 eV per atom
E = -9.241 eV/atom
energy above the lowest structure with this stoichiometry = 0 meV/atom

The structure in Quantum ESPRESSO input format:
```
&SYSTEM
  ibrav = 0, nat = 5, ntyp = 3
/
ATOMIC_SPECIES
Ta 180.95 Ta.upf
Ni 58.69 Ni.upf
B 10.81 B.upf
ATOMIC_POSITIONS crystal
Ta 0.794 0.706 0.706
Ta 0.206 0.294 0.294
Ni 0.000 0.000 0.000
B 0.500 0.697 0.303
B 0.500 0.303 0.697
CELL_PARAMETERS angstrom
-2.928 1.066 -0.991
-3.395 -2.215 2.254
-2.211 2.158 3.459
```

---

Below is Ta3NiB7 after structural relaxation, with properties calculated at the PBE-GGA level. Values from VASP.

Computed properties:
space-group type = Cmcm, No. 63
DFT formation energy = -0.53 eV per atom
E = -8.540 eV/atom

The structure in Quantum ESPRESSO input format:
```
&SYSTEM
  ibrav = 0, nat = 22, ntyp = 3
/
ATOMIC_SPECIES
Ta 180.95 Ta.upf
Ni 58.69 Ni.upf
B 10.81 B.upf
ATOMIC_POSITIONS crystal
Ta 0.108 0.215 0.445
Ta 0.892 0.785 0.555
Ta 0.248 0.495 0.750
Ta 0.752 0.505 0.250
Ta 0.108 0.215 0.055
Ta 0.892 0.785 0.945
Ni 0.951 0.903 0.250
Ni 0.049 0.097 0.750
B 0.428 0.857 0.750
B 0.572 0.143 0.250
B 0.486 0.971 0.406
B 0.514 0.029 0.594
B 0.514 0.029 0.906
B 0.486 0.971 0.094
B 0.367 0.734 0.349
B 0.633 0.266 0.651
B 0.272 0.545 0.468
B 0.728 0.455 0.532
B 0.728 0.455 0.968
B 0.272 0.545 0.032
B 0.367 0.734 0.151
B 0.633 0.266 0.849
CELL_PARAMETERS angstrom
-1.164 1.741 2.426
0.090 -6.820 2.822
8.118 1.326 2.945
```

---

Below is Ta2NiB2 after structural relaxation, with properties calculated at the PBE-GGA level. Values from VASP.

Computed properties:
space-group type = P4/mbm, No. 127
DFT formation energy = -0.64 eV per atom
E = -9.208 eV/atom
energy above the lowest structure with this stoichiometry = 33 meV/atom

The structure in Quantum ESPRESSO input format:
```
&SYSTEM
  ibrav = 0, nat = 10, ntyp = 3
/
ATOMIC_SPECIES
Ni 58.69 Ni.upf
B 10.81 B.upf
Ta 180.95 Ta.upf
ATOMIC_POSITIONS crystal
Ni 0.000 0.000 0.000
Ni 0.500 0.500 0.000
B 0.392 0.892 0.000
B 0.892 0.608 0.000
B 0.608 0.108 0.000
B 0.108 0.392 0.000
Ta 0.181 0.681 0.500
Ta 0.681 0.819 0.500
Ta 0.819 0.319 0.500
Ta 0.319 0.181 0.500
CELL_PARAMETERS angstrom
-0.937 5.438 -1.865
-2.499 1.316 5.093
2.964 0.928 1.215
```

---

Q: Among the records above, which one has the highest E?
A: Ta3NiB7

---

Q: E of number 4 (Ta2NiB2)?
A: -9.208 eV/atom

---

Repeat the second record exactly.
Below is Ta2NiB2 after structural relaxation, with properties calculated at the PBE-GGA level. Values from VASP.

Computed properties:
space-group type = Immm, No. 71
DFT formation energy = -0.67 eV per atom
E = -9.241 eV/atom
energy above the lowest structure with this stoichiometry = 0 meV/atom

The structure in Quantum ESPRESSO input format:
```
&SYSTEM
  ibrav = 0, nat = 5, ntyp = 3
/
ATOMIC_SPECIES
Ta 180.95 Ta.upf
Ni 58.69 Ni.upf
B 10.81 B.upf
ATOMIC_POSITIONS crystal
Ta 0.794 0.706 0.706
Ta 0.206 0.294 0.294
Ni 0.000 0.000 0.000
B 0.500 0.697 0.303
B 0.500 0.303 0.697
CELL_PARAMETERS angstrom
-2.928 1.066 -0.991
-3.395 -2.215 2.254
-2.211 2.158 3.459
```

---

Q: The lowest E belongs to which entry?
A: number 2